# ZrCr2Se GGA-PBE relaxed
# * size of the total moment: 0.73 μB per formula unit
# * mass density: 6.955 g/cm3
# * E_tot: -62.0 eV for the cell shown
data_ZrCr2Se
_chemical_formula_sum 'Zr2 Cr4 Se2'
_space_group_name_H-M_alt 'I m m 2'
_space_group_IT_number 44
_cell_length_a 3.3296
_cell_length_b 4.4587
_cell_length_c 8.8185
_cell_angle_alpha 90.00
_cell_angle_beta 90.00
_cell_angle_gamma 90.00
loop_
_space_group_symop_operation_xyz
'x,y,z'
'-x,-y,z'
'-x,y,z'
'x,-y,z'
'x+1/2,y+1/2,z+1/2'
'-x+1/2,-y+1/2,z+1/2'
'-x+1/2,y+1/2,z+1/2'
'x+1/2,-y+1/2,z+1/2'
loop_
_atom_site_label
_atom_site_type_symbol
_atom_site_fract_x
_atom_site_fract_y
_atom_site_fract_z
Zr1 Zr 0.0000 0.0000 0.0000
Cr1 Cr 0.0000 0.0000 0.5021
Cr2 Cr 0.0000 0.5000 0.7739
Se1 Se 0.0000 0.5000 0.2316